{
  "formula": "Pm7Nd3Er",
  "functional": "PBE",
  "state": "relaxed",
  "lattice_angstrom": [[-2.984, 5.688, 5.710], [2.984, -5.688, 5.710], [2.984, 5.688, -5.710]],
  "species": ["Pm", "Pm", "Pm", "Pm", "Pm", "Pm", "Pm", "Nd", "Nd", "Nd", "Er"],
  "fractional_positions": [[0.000, 0.000, 0.000], [0.097, 0.303, 0.795], [0.291, 0.791, 0.500], [0.492, 0.697, 0.795], [0.508, 0.303, 0.205], [0.709, 0.209, 0.500], [0.903, 0.697, 0.205], [0.290, 0.000, 0.290], [0.500, 0.500, 0.000], [0.710, 0.000, 0.710], [0.000, 0.500, 0.500]],
  "e_form_mev_per_atom": 237,
  "sg": "Immm",
  "e_above_lowest_polymorph_mev_per_atom": 116
}